Model A:
Compound: TbPm2Nd
Source: Alexandria via LeMat-Bulk
Functional: PBE
Structure: optimized geometry

The space group is P4/mmm (No. 123) and the conventional cell measures 4.2886, 4.2886 and 7.3970 Å, with angles of 90.00, 90.00 and 90.00 degrees. Symmetry generates all atoms from Tb at (0.0000, 0.0000, 0.0000), Pm at (0.5000, 0.5000, 0.2462) and Nd at (0.0000, 0.0000, 0.5000).

Model B:
Compound: TbPm2Nd
Source: Alexandria via LeMat-Bulk
Functional: PBE
Structure: optimized geometry

The space group is R3m (No. 160, hexagonal axes) and the conventional cell measures 3.6482, 3.6482 and 35.4549 Å, with angles of 90.00, 90.00 and 120.00 degrees. Symmetry generates all atoms from Tb at (0.0000, 0.0000, 0.0000), Pm at (0.0000, 0.0000, 0.4156), Pm at (0.0000, 0.0000, 0.5848) and Nd at (0.0000, 0.0000, 0.1669).

Model C:
Compound: TbPm2Nd
Source: Alexandria via LeMat-Bulk
Functional: PBE
Structure: optimized geometry

The space group is Amm2 (No. 38) and the conventional cell measures 5.6619, 3.5803 and 13.4413 Å, with angles of 90.00, 90.00 and 90.00 degrees. Symmetry generates all atoms from Tb at (0.0000, 0.0000, 0.0000), Pm at (0.0000, 0.0000, 0.7393), Pm at (0.5000, 0.0000, 0.6137) and Nd at (0.5000, 0.0000, 0.3574).

Q: Which of them is the least stable? A: model A.

Model A:
Compound: Tb3Pm5Nd
Source: Alexandria via LeMat-Bulk
Functional: PBE
Structure: optimized geometry

The space group is Cmcm (No. 63) and the conventional cell measures 17.7455, 9.4163 and 7.3112 Å, with angles of 90.00, 90.00 and 90.00 degrees. Symmetry generates all atoms from Tb at (0.0000, 0.0000, 0.0000), Tb at (0.1790, 0.9998, 0.2500), Pm at (0.0000, 0.3314, 0.2500), Pm at (0.1646, 0.3235, 0.5006) and Nd at (0.0000, 0.3041, 0.7500).

Model B:
Compound: Tb3Pm5Nd
Source: Alexandria via LeMat-Bulk
Functional: PBE
Structure: optimized geometry

The space group is C2/m (No. 12) and the conventional cell measures 16.9840, 8.2662 and 12.4817 Å, with angles of 90.00, 131.63 and 90.00 degrees. Symmetry generates all atoms from Tb at (0.0000, 0.0000, 0.0000), Tb at (0.0000, 0.5000, 0.5000), Tb at (0.1088, 0.0000, 0.8116), Tb at (0.1802, 0.5000, 0.8443), Pm at (0.0000, 0.1827, 0.5000), Pm at (0.0628, 0.3002, 0.2754), Pm at (0.1346, 0.5000, 0.0760), Pm at (0.1935, 0.0000, 0.5596) and Nd at (0.2385, 0.5000, 0.6324).

Q: Which of them is the least stable? A: model B.

Model A:
Compound: Tb12PmNd7
Source: Alexandria via LeMat-Bulk
Functional: PBE
Structure: optimized geometry

The space group is R-3 (No. 148, hexagonal axes) and the conventional cell measures 12.0770, 12.0770 and 16.2726 Å, with angles of 90.00, 90.00 and 120.00 degrees. Symmetry generates all atoms from Tb at (0.0227, 0.5754, 0.2227), Tb at (0.0509, 0.4638, 0.5823), Pm at (0.0000, 0.0000, 0.5000), Nd at (0.0000, 0.0000, 0.0000) and Nd at (0.0550, 0.8669, 0.2899).

Model B:
Compound: Tb12PmNd7
Source: Alexandria via LeMat-Bulk
Functional: PBE
Structure: optimized geometry

The space group is Im-3m (No. 229) and the conventional cell measures 11.3908, 11.3908 and 11.3908 Å, with angles of 90.00, 90.00 and 90.00 degrees. Symmetry generates all atoms from Tb at (0.0000, 0.2493, 0.2493), Pm at (0.0000, 0.0000, 0.0000), Nd at (0.0000, 0.0000, 0.5000) and Nd at (0.2500, 0.2500, 0.2500).

Q: Which of them is the least stable? A: model B.

Model A:
Compound: Tb3Pm3Nd5
Source: Alexandria via LeMat-Bulk
Functional: PBE
Structure: optimized geometry

The space group is P-62m (No. 189) and the conventional cell measures 9.8172, 9.8172 and 5.5282 Å, with angles of 90.00, 90.00 and 120.00 degrees. Symmetry generates all atoms from Tb at (0.0000, 0.6337, 0.0000), Pm at (0.0000, 0.4251, 0.5000), Nd at (0.0000, 0.2676, 0.0000) and Nd at (0.3333, 0.6667, 0.0000).

Model B:
Compound: Tb3Pm3Nd5
Source: Alexandria via LeMat-Bulk
Functional: PBE
Structure: optimized geometry

The space group is P-62m (No. 189) and the conventional cell measures 11.4049, 11.4049 and 3.4692 Å, with angles of 90.00, 90.00 and 120.00 degrees. Symmetry generates all atoms from Tb at (0.0000, 0.8408, 0.0000), Pm at (0.0000, 0.5973, 0.5000), Nd at (0.0000, 0.3384, 0.0000) and Nd at (0.3333, 0.6667, 0.0000).

Q: Which of them is the least stable? A: model A.

Model A:
Compound: Tb12Pm5Nd2
Source: Alexandria via LeMat-Bulk
Functional: PBE
Structure: optimized geometry

The space group is P-1 (No. 2) and the conventional cell measures 6.1619, 8.9427 and 11.8208 Å, with angles of 91.37, 103.19 and 96.33 degrees. Symmetry generates all atoms from Tb at (0.0134, 0.2370, 0.2135), Tb at (0.0923, 0.8779, 0.1127), Tb at (0.2549, 0.6041, 0.3147), Tb at (0.3323, 0.4427, 0.8279), Tb at (0.3507, 0.0739, 0.7338), Tb at (0.4168, 0.7111, 0.6337), Pm at (0.0000, 0.5000, 0.0000), Pm at (0.1664, 0.3441, 0.5248), Pm at (0.4586, 0.1924, 0.0486) and Nd at (0.2142, 0.9731, 0.4212).

Model B:
Compound: Tb12Pm5Nd2
Source: Alexandria via LeMat-Bulk
Functional: PBE
Structure: optimized geometry

The space group is C2/m (No. 12) and the conventional cell measures 15.7198, 9.3359 and 8.7163 Å, with angles of 90.00, 92.17 and 90.00 degrees. Symmetry generates all atoms from Tb at (0.0577, 0.0000, 0.3377), Tb at (0.0755, 0.5000, 0.8756), Tb at (0.1297, 0.1909, 0.6668), Tb at (0.1489, 0.3212, 0.2409), Pm at (0.0000, 0.5000, 0.5000), Pm at (0.2071, 0.0000, 0.0224), Pm at (0.2304, 0.5000, 0.5716) and Nd at (0.0000, 0.1744, 0.0000).

Q: Which of them is the least stable? A: model B.

Model A:
Compound: Tb4PmNd6
Source: Alexandria via LeMat-Bulk
Functional: PBE
Structure: optimized geometry

The space group is P-6m2 (No. 187) and the conventional cell measures 11.1309, 11.1309 and 3.6033 Å, with angles of 90.00, 90.00 and 120.00 degrees. Symmetry generates all atoms from Tb at (0.0000, 0.0000, 0.0000), Tb at (0.0125, 0.5062, 0.5000), Pm at (0.3333, 0.6667, 0.0000), Nd at (0.1508, 0.3017, 0.5000) and Nd at (0.3833, 0.1917, 0.0000).

Model B:
Compound: Tb4PmNd6
Source: Alexandria via LeMat-Bulk
Functional: PBE
Structure: optimized geometry

The space group is I-42m (No. 121) and the conventional cell measures 6.6060, 6.6060 and 17.6643 Å, with angles of 90.00, 90.00 and 90.00 degrees. Symmetry generates all atoms from Tb at (0.1864, 0.1864, 0.1765), Pm at (0.0000, 0.0000, 0.0000), Nd at (0.0000, 0.5000, 0.0000) and Nd at (0.1790, 0.1790, 0.3652).

Q: Which of them is the least stable? A: model B.

Model A:
Compound: Tb3Pm3Nd8
Source: Alexandria via LeMat-Bulk
Functional: PBE
Structure: optimized geometry

The space group is C2/m (No. 12) and the conventional cell measures 12.8582, 13.3764 and 5.9430 Å, with angles of 90.00, 107.25 and 90.00 degrees. Symmetry generates all atoms from Tb at (0.0000, 0.0000, 0.0000), Tb at (0.0000, 0.1484, 0.5000), Pm at (0.0000, 0.5000, 0.0000), Pm at (0.2227, 0.0000, 0.8210), Nd at (0.1356, 0.2536, 0.0877) and Nd at (0.1483, 0.3791, 0.5882).

Model B:
Compound: Tb3Pm3Nd8
Source: Alexandria via LeMat-Bulk
Functional: PBE
Structure: optimized geometry

The space group is Immm (No. 71) and the conventional cell measures 5.7322, 10.9690 and 15.4147 Å, with angles of 90.00, 90.00 and 90.00 degrees. Symmetry generates all atoms from Tb at (0.0000, 0.0000, 0.0000), Tb at (0.0000, 0.5000, 0.3181), Pm at (0.0000, 0.0000, 0.5000), Pm at (0.0000, 0.3046, 0.5000), Nd at (0.0000, 0.1577, 0.2754) and Nd at (0.0000, 0.3375, 0.1041).

Q: Which of them is the least stable? A: model A.

Model A:
Compound: TbPm12Nd6
Source: Alexandria via LeMat-Bulk
Functional: PBE
Structure: optimized geometry

The space group is R-3 (No. 148, hexagonal axes) and the conventional cell measures 12.2727, 12.2727 and 15.3233 Å, with angles of 90.00, 90.00 and 120.00 degrees. Symmetry generates all atoms from Tb at (0.0000, 0.0000, 0.0000), Pm at (0.0040, 0.8310, 0.1903), Pm at (0.0477, 0.8524, 0.4166) and Nd at (0.0127, 0.4226, 0.6846).

Model B:
Compound: TbPm12Nd6
Source: Alexandria via LeMat-Bulk
Functional: PBE
Structure: optimized geometry

The space group is R-3m (No. 166, hexagonal axes) and the conventional cell measures 16.5563, 16.5563 and 8.5259 Å, with angles of 90.00, 90.00 and 120.00 degrees. Symmetry generates all atoms from Tb at (0.0000, 0.0000, 0.0000), Pm at (0.0000, 0.3790, 0.5000), Pm at (0.0933, 0.5466, 0.8145) and Nd at (0.0849, 0.1698, 0.6462).

Q: Which of them is the least stable? A: model B.